[1]
The following is a GGA-PBE calculation of crystalline DyZnCuRh at its relaxed geometry, from Alexandria via LeMat-Bulk.

abc: 4.593 4.593 4.593
angles: 60.00 60.00 60.00
Positions (direct):
1 Zn 0.500 0.500 0.500
2 Rh 0.750 0.750 0.750
3 Cu 0.250 0.250 0.250
4 Dy 0.000 0.000 0.000

Computed properties:
The final energy comes out at -4.722 eV per atom.


[2]
The following is a GGA-PBE calculation of crystalline Al8GeIr2 at its relaxed geometry, from Alexandria via LeMat-Bulk.

abc: 4.769 5.091 8.006
angles: 108.61 107.34 90.14
Positions (direct):
1 Al 0.840 0.364 0.909
2 Al 0.907 0.975 0.536
3 Al 0.281 0.348 0.283
4 Al 0.693 0.011 0.113
5 Al 0.275 0.843 0.282
6 Al 0.901 0.470 0.535
7 Al 0.341 0.454 0.909
8 Al 0.489 0.807 0.705
9 Ge 0.091 0.909 0.909
10 Ir 0.747 0.566 0.222
11 Ir 0.435 0.253 0.596

Computed properties:
The energy above the most stable polymorph in this dataset is 0.000 eV/atom. The final energy comes out at -5.222 eV per atom.


[3]
The following is a GGA-PBE calculation of crystalline LiNi2W at its relaxed geometry, from Alexandria via LeMat-Bulk.

abc: 5.301 5.301 5.301
angles: 151.65 131.87 56.81
Positions (direct):
1 Li 0.238 0.738 0.500
2 Ni 0.975 0.975 0.000
3 Ni 0.758 0.258 0.500
4 W 0.529 0.529 0.000

Computed properties:
The final energy comes out at -6.458 eV per atom.


[4]
The following is a GGA-PBE calculation of crystalline MnOsCl2 at its relaxed geometry, from Alexandria via LeMat-Bulk.

abc: 5.276 5.276 6.211
angles: 64.86 64.86 90.00
Positions (direct):
1 Mn 0.500 0.500 0.000
2 Mn 0.250 0.750 0.500
3 Os 0.000 0.000 0.000
4 Os 0.750 0.250 0.500
5 Cl 0.602 0.125 0.250
6 Cl 0.148 0.625 0.250
7 Cl 0.375 0.398 0.750
8 Cl 0.875 0.852 0.750

Computed properties:
The energy above the most stable polymorph in this dataset is 1.174 eV/atom. The final energy comes out at -4.880 eV per atom.